(1)
Density functional theory data (PBE) for BeAl2CoCu4 after structural relaxation.

The structure belongs to space group P4/mmm (No. 123); the cell edges are 3.902, 3.902 and 6.091 Å and the angles 90.00°, 90.00° and 90.00°. Symmetry generates all atoms from Be at (0.000, 0.000, 0.000), Al at (0.000, 0.000, 0.500), Al at (0.500, 0.500, 0.000), Co at (0.500, 0.500, 0.500) and Cu at (0.000, 0.500, 0.236).

For the energy above the most stable polymorph in this dataset, the calculation gives 7.7 meV/atom. Its crystal system is tetragonal.

---

(2)
Density functional theory data (PBE) for BeAlCoCu after structural relaxation.

The structure belongs to space group F-43m (No. 216); the cell edges are 5.575, 5.575 and 5.575 Å and the angles 90.00°, 90.00° and 90.00°. Symmetry generates all atoms from Be at (0.000, 0.000, 0.000), Al at (0.000, 0.000, 0.500), Co at (0.250, 0.250, 0.750) and Cu at (0.250, 0.250, 0.250).

For the energy above the most stable polymorph in this dataset, the calculation gives 0.0 meV/atom. Its crystal system is cubic.

---

(3)
Density functional theory data (PBE) for BeAl2CoCu4 after structural relaxation.

The structure belongs to space group I4_1/amd (No. 141, origin choice 2); the cell edges are 5.741, 5.741 and 11.187 Å and the angles 90.00°, 90.00° and 90.00°. Symmetry generates all atoms from Be at (0.000, 0.250, 0.375), Al at (0.000, 0.250, 0.110), Co at (0.000, 0.250, 0.875) and Cu at (0.224, 0.000, 0.500).

For the energy above the most stable polymorph in this dataset, the calculation gives 0.0 meV/atom. Its crystal system is tetragonal.

---

(4)
Density functional theory data (PBE) for BeAlCoCu after structural relaxation.

The structure belongs to space group F-43m (No. 216); the cell edges are 5.614, 5.614 and 5.614 Å and the angles 90.00°, 90.00° and 90.00°. Symmetry generates all atoms from Be at (0.000, 0.000, 0.000), Al at (0.250, 0.250, 0.750), Co at (0.000, 0.000, 0.500) and Cu at (0.250, 0.250, 0.250).

For the energy above the most stable polymorph in this dataset, the calculation gives 134.6 meV/atom. Its crystal system is cubic.

---

(5)
Density functional theory data (PBE) for BeAlCoGe after structural relaxation.

The structure belongs to space group F-43m (No. 216); the cell edges are 5.753, 5.753 and 5.753 Å and the angles 90.00°, 90.00° and 90.00°. Symmetry generates all atoms from Be at (0.000, 0.000, 0.000), Al at (0.250, 0.250, 0.250), Co at (0.000, 0.000, 0.500) and Ge at (0.250, 0.250, 0.750).

For the energy above the most stable polymorph in this dataset, the calculation gives 0.0 meV/atom. Its crystal system is cubic.

---

(6)
Density functional theory data (PBE) for BeAlCoGe after structural relaxation.

The structure belongs to space group F-43m (No. 216); the cell edges are 5.818, 5.818 and 5.818 Å and the angles 90.00°, 90.00° and 90.00°. Symmetry generates all atoms from Be at (0.000, 0.000, 0.000), Al at (0.250, 0.250, 0.750), Co at (0.250, 0.250, 0.250) and Ge at (0.000, 0.000, 0.500).

For the energy above the most stable polymorph in this dataset, the calculation gives 93.3 meV/atom. Its crystal system is cubic.

---

(7)
Density functional theory data (PBE) for BeAlCoGe after structural relaxation.

The structure belongs to space group F-43m (No. 216); the cell edges are 5.840, 5.840 and 5.840 Å and the angles 90.00°, 90.00° and 90.00°. Symmetry generates all atoms from Be at (0.000, 0.000, 0.000), Al at (0.000, 0.000, 0.500), Co at (0.250, 0.250, 0.250) and Ge at (0.250, 0.250, 0.750).

For the energy above the most stable polymorph in this dataset, the calculation gives 137.5 meV/atom. Its crystal system is cubic.

---

(8)
Density functional theory data (PBE) for BeAlCoHg after structural relaxation.

The structure belongs to space group F-43m (No. 216); the cell edges are 6.018, 6.018 and 6.018 Å and the angles 90.00°, 90.00° and 90.00°. Symmetry generates all atoms from Be at (0.000, 0.000, 0.000), Al at (0.250, 0.250, 0.250), Co at (0.000, 0.000, 0.500) and Hg at (0.250, 0.250, 0.750).

For the energy above the most stable polymorph in this dataset, the calculation gives 27.5 meV/atom. Its crystal system is cubic.

---

| no. | total moment (μB/cell) |
| --- | --- |
| 1 | 0.260 |
| 2 | 0.012 |
| 3 | 0.013 |
| 4 | 0.003 |
| 5 | 0.003 |
| 6 | 0.015 |
| 7 | 0.050 |
| 8 | 0.206 |